First-principles (PBE) data for crystalline Sm3PuBi4 at its relaxed geometry, as listed in Alexandria via LeMat-Bulk.

Summary:
Calculated formation energy ... -768 meV/atom
Energy above the most stable polymorph in this dataset ... 0.002 eV per atom

abc: 6.441 6.441 6.441
angles: 90.00 90.00 90.00
Fractional coordinates of all 8 atoms:
Sm 0.000 0.000 0.500
Sm 0.000 0.500 0.000
Sm 0.500 0.000 0.000
Pu 0.500 0.500 0.500
Bi 0.000 0.000 0.000
Bi 0.000 0.500 0.500
Bi 0.500 0.000 0.500
Bi 0.500 0.500 0.000